Here is AcSmCu2S4 after structural relaxation from Alexandria via LeMat-Bulk. Energies are from PBE-GGA.

Structure (POSCAR):
```
AcSmCu2S4
1.0
-3.301 3.499 3.932
3.301 -3.499 3.932
3.301 3.499 -3.932
Ac Sm Cu S
1 1 2 4
Direct
0.000 0.000 0.000
0.500 0.500 0.000
0.333 0.833 0.500
0.667 0.167 0.500
0.089 0.044 0.543
0.499 0.956 0.046
0.501 0.547 0.457
0.911 0.453 0.954
```

## Properties
As for the crystal system: orthorhombic. As for the total energy: -0.2015 hartree per atom. The formation energy (no corrections) comes out at -1293 meV/atom.


Here is SrAc2CuS5 after structural relaxation from Alexandria via LeMat-Bulk. Energies are from PBE-GGA.

Structure (POSCAR):
```
SrAc2CuS5
1.0
-4.070 4.070 6.745
4.070 -4.070 6.745
4.070 4.070 -6.745
Sr Ac Cu S
2 4 2 10
Direct
0.250 0.250 0.000
0.750 0.750 0.000
0.160 0.660 0.821
0.340 0.160 0.500
0.660 0.840 0.500
0.840 0.340 0.179
0.250 0.750 0.500
0.750 0.250 0.500
0.000 0.000 0.000
0.009 0.209 0.500
0.209 0.709 0.200
0.291 0.491 0.500
0.491 0.991 0.200
0.500 0.500 0.000
0.509 0.009 0.800
0.709 0.509 0.500
0.791 0.291 0.800
0.991 0.791 0.500
```

## Properties
As for the crystal system: tetragonal. As for the total energy: -0.2020 hartree per atom. The formation energy (no corrections) comes out at -1648 meV/atom.